1.
Density functional theory data (PBE) for an optimized crystal structure of NaEuZnPb.

Structure (POSCAR):
```
NaEuZnPb
1.0
-2.281 -4.608 -1.517
1.905 -4.664 1.832
-2.854 -2.864 3.520
Pb Eu Zn Na
1 1 1 1
direct
0.500 0.500 0.500 Pb
0.750 0.750 0.750 Eu
0.000 0.000 0.000 Zn
0.250 0.250 0.250 Na
```

Output
N(E_F) ... 10.08 states/eV/f.u.
Electronic total energy ... -4.371 eV/atom
Size of the total moment ... 6.91 μB per cell
SG ... No. 216

2.
Density functional theory data (PBE) for an optimized crystal structure of LiHgPb2Br.

Structure (POSCAR):
```
LiHgPb2Br
1.0
-1.254 -3.766 3.508
3.923 1.390 2.895
-3.113 3.431 2.570
Pb Hg Br Li
2 1 1 1
direct
0.000 0.000 0.500 Pb
0.500 0.000 0.000 Pb
0.000 0.500 0.000 Hg
0.500 0.500 0.500 Br
0.000 0.000 0.000 Li
```

Output
N(E_F) ... 2.18 states/eV/f.u.
Electronic total energy ... -2.314 eV/atom
Formation energy (no corrections) ... -52.5 meV/atom
Size of the total moment ... 0.00 μB per cell
SG ... No. 123

3.
Density functional theory data (PBE) for an optimized crystal structure of MgMn3S.

Structure (POSCAR):
```
MgMn3S
1.0
4.742 0.000 0.000
0.000 4.742 0.000
0.000 0.000 4.742
S Mn Mg
1 3 1
direct
0.500 0.500 0.500 S
0.000 0.500 0.000 Mn
0.000 0.000 0.500 Mn
0.500 0.000 0.000 Mn
0.000 0.000 0.000 Mg
```

Output
N(E_F) ... 2.69 states/eV/f.u.
Electronic total energy ... -5.300 eV/atom
Formation energy (no corrections) ... 1345.9 meV/atom
Size of the total moment ... 11.95 μB per cell
SG ... No. 221

4.
Density functional theory data (PBE) for an optimized crystal structure of Na2NiS2.

Structure (POSCAR):
```
Na2NiS2
1.0
6.331 0.000 0.000
0.000 6.331 0.000
0.000 0.000 4.369
Ni S Na
2 4 4
direct
0.000 0.000 0.000 Ni
0.500 0.500 0.000 Ni
0.327 0.827 0.000 S
0.827 0.673 0.000 S
0.673 0.173 0.000 S
0.173 0.327 0.000 S
0.152 0.652 0.500 Na
0.652 0.848 0.500 Na
0.848 0.348 0.500 Na
0.348 0.152 0.500 Na
```

Output
N(E_F) ... 1.03 states/eV/f.u.
Electronic total energy ... -3.889 eV/atom
Formation energy (no corrections) ... -554.1 meV/atom
Size of the total moment ... 0.00 μB per cell
SG ... No. 127

5.
Density functional theory data (PBE) for an optimized crystal structure of Rb2GaGe3.

Structure (POSCAR):
```
Rb2GaGe3
1.0
4.390 0.000 0.000
0.000 5.803 0.000
0.000 0.000 7.319
Rb Ga Ge
2 1 3
direct
0.500 0.000 0.004 Rb
0.000 0.000 0.497 Rb
0.500 0.500 0.671 Ga
0.000 0.500 0.169 Ge
0.000 0.500 0.829 Ge
0.500 0.500 0.331 Ge
```

Output
N(E_F) ... 2.13 states/eV/f.u.
Electronic total energy ... -3.240 eV/atom
Size of the total moment ... 0.00 μB per cell
SG ... No. 25

6.
Density functional theory data (PBE) for an optimized crystal structure of HfTl2Sb.

Structure (POSCAR):
```
HfTl2Sb
1.0
0.000 3.757 3.757
3.757 0.000 3.757
3.757 3.757 0.000
Sb Tl Hf
1 2 1
direct
0.000 0.000 0.000 Sb
0.250 0.250 0.250 Tl
0.750 0.750 0.750 Tl
0.500 0.500 0.500 Hf
```

Output
N(E_F) ... 9.37 states/eV/f.u.
Electronic total energy ... -4.215 eV/atom
Formation energy (no corrections) ... 487.3 meV/atom
Size of the total moment ... 0.00 μB per cell
SG ... No. 225